Entry 1:
Compound: Er4Al2ZnCd
Source: Alexandria
Functional: GGA-PBE
Structure: optimized geometry

Theoretical density: 8.01 g cm⁻³
Calculated formation energy: -0.36 eV/atom
Energy: -3.856 eV per atom
Density of states at the Fermi level: 0.718 states/eV per atom
Size of the total moment: 0.000 μB/cell
Space-group type: R-3m

```
Er4Al2ZnCd
1.0
2.545 1.469 8.318
-2.545 1.469 8.318
0.000 -2.939 8.318
Er Al Zn Cd
4 2 1 1
Direct
0.122 0.122 0.122
0.372 0.372 0.372
0.628 0.628 0.628
0.878 0.878 0.878
0.248 0.248 0.248
0.752 0.752 0.752
0.000 0.000 0.000
0.500 0.500 0.500
```

---

Entry 2:
Compound: Er4AlZn2Cd
Source: Alexandria
Functional: GGA-PBE
Structure: optimized geometry

Theoretical density: 8.39 g cm⁻³
Calculated formation energy: -0.34 eV/atom
Energy: -3.526 eV per atom
Density of states at the Fermi level: 0.914 states/eV per atom
Size of the total moment: 0.000 μB/cell
Space-group type: R-3m

```
Er4AlZn2Cd
1.0
2.541 1.467 8.311
-2.541 1.467 8.311
0.000 -2.935 8.311
Er Al Zn Cd
4 1 2 1
Direct
0.123 0.123 0.123
0.373 0.373 0.373
0.627 0.627 0.627
0.877 0.877 0.877
0.000 0.000 0.000
0.249 0.249 0.249
0.751 0.751 0.751
0.500 0.500 0.500
```